# 1
Below is a relaxed Ba2ScTl crystal, with properties calculated at the PBE level.

Lattice parameters (Å, degrees): 6.2451 6.2451 6.2451 128.15 128.15 76.39
Sites, in units of the cell vectors:
Ba: 0.0000 0.0000 0.0000
Ba: 0.7500 0.2500 0.5000
Sc: 0.2500 0.7500 0.5000
Tl: 0.5000 0.5000 0.0000

Output
Uncorrected energy in eV per atom: -3.02
Energy of formation from the pure elements in eV per atom: 0.12
Offset from the most stable computed form in eV per atom: 0.170

# 2
Below is a relaxed LaPm2Er2Tm crystal, with properties calculated at the PBE level.

Lattice parameters (Å, degrees): 6.9591 16.3131 3.5252 90.00 90.00 90.00
Sites, in units of the cell vectors:
La: 0.0000 0.0000 0.0000
La: 0.5000 0.5000 0.5000
Pm: 0.2454 0.3394 0.0000
Pm: 0.2546 0.8394 0.5000
Pm: 0.7454 0.1606 0.5000
Pm: 0.7546 0.6606 0.0000
Er: 0.2486 0.1535 0.5000
Er: 0.2514 0.6535 0.0000
Er: 0.7486 0.3465 0.0000
Er: 0.7514 0.8465 0.5000
Tm: 0.0000 0.5000 0.5000
Tm: 0.5000 0.0000 0.0000

Output
Uncorrected energy in eV per atom: -4.52
Energy of formation from the pure elements in eV per atom: 0.15

# 3
Below is a relaxed SrBrCl2 crystal, with properties calculated at the PBE level.

Lattice parameters (Å, degrees): 5.5123 5.5123 5.5123 126.18 126.18 79.60
Sites, in units of the cell vectors:
Sr: 0.0000 0.0000 0.0000
Br: 0.5000 0.5000 0.0000
Cl: 0.2500 0.7500 0.5000
Cl: 0.7500 0.2500 0.5000

Output
Uncorrected energy in eV per atom: -3.20
Formation energy (no corrections) in meV/atom: -1434
Offset from the most stable computed form in eV per atom: 0.201

# 4
Below is a relaxed Co2NiTeAu crystal, with properties calculated at the PBE level.

Lattice parameters (Å, degrees): 4.6413 4.6413 4.6215 90.00 90.00 90.00
Sites, in units of the cell vectors:
Co: 0.0000 0.5000 0.0000
Co: 0.5000 0.0000 0.0000
Ni: 0.0000 0.0000 0.5000
Te: 0.0000 0.0000 0.0000
Au: 0.5000 0.5000 0.5000

Output
Uncorrected energy in eV per atom: -4.28
Formation energy (no corrections) in meV/atom: 1005

# 5
Below is a relaxed PmCdIn crystal, with properties calculated at the PBE level.

Lattice parameters (Å, degrees): 4.9513 4.9513 7.4732 90.00 90.00 120.00
Sites, in units of the cell vectors:
Pm: 0.0000 0.0000 0.0000
Pm: 0.0000 0.0000 0.5000
Cd: 0.3333 0.6667 0.2500
Cd: 0.6667 0.3333 0.7500
In: 0.3333 0.6667 0.7500
In: 0.6667 0.3333 0.2500

Output
Uncorrected energy in eV per atom: -3.24
Energy of formation from the pure elements in eV per atom: -0.44
Offset from the most stable computed form in eV per atom: 0.000

# 6
Below is a relaxed Ce2TePb crystal, with properties calculated at the PBE level.

Lattice parameters (Å, degrees): 7.7671 7.7671 7.7671 34.18 34.18 34.18
Sites, in units of the cell vectors:
Ce: 0.2502 0.2502 0.2502
Ce: 0.7498 0.7498 0.7498
Te: 0.5000 0.5000 0.5000
Pb: 0.0000 0.0000 0.0000

Output
Uncorrected energy in eV per atom: -5.54
Formation energy (no corrections) in meV/atom: -865
Offset from the most stable computed form in eV per atom: 0.000

# 7
Below is a relaxed Ce7Ge3Bi crystal, with properties calculated at the PBE level.

Lattice parameters (Å, degrees): 7.8866 7.8866 7.8866 135.83 110.19 86.42
Sites, in units of the cell vectors:
Ce: 0.0000 0.0000 0.0000
Ce: 0.1175 0.7674 0.3501
Ce: 0.3526 0.5000 0.8526
Ce: 0.4174 0.7674 0.6499
Ce: 0.5826 0.2326 0.3501
Ce: 0.6474 0.5000 0.1474
Ce: 0.8825 0.2326 0.6499
Ge: 0.2626 0.2626 0.0000
Ge: 0.5000 0.0000 0.5000
Ge: 0.7374 0.7374 0.0000
Bi: 0.0000 0.5000 0.5000

Output
Uncorrected energy in eV per atom: -5.84
Energy of formation from the pure elements in eV per atom: -0.45

# 8
Below is a relaxed TePd2PtC crystal, with properties calculated at the PBE level.

Lattice parameters (Å, degrees): 4.0789 4.0789 4.8997 90.00 90.00 90.00
Sites, in units of the cell vectors:
Te: 0.0000 0.0000 0.0000
Pd: 0.0000 0.5000 0.5000
Pd: 0.5000 0.0000 0.5000
Pt: 0.5000 0.5000 0.0000
C: 0.0000 0.0000 0.5000

Output
Uncorrected energy in eV per atom: -5.23
Formation energy (no corrections) in meV/atom: 529

# 9
Below is a relaxed TmCdO crystal, with properties calculated at the PBE level.

Lattice parameters (Å, degrees): 10.4980 10.4980 10.4980 20.11 20.11 20.11
Sites, in units of the cell vectors:
Tm: 0.1202 0.1202 0.1202
Tm: 0.8798 0.8798 0.8798
Cd: 0.3699 0.3699 0.3699
Cd: 0.6301 0.6301 0.6301
O: 0.1950 0.1950 0.1950
O: 0.8050 0.8050 0.8050

Output
Uncorrected energy in eV per atom: -5.48
Formation energy (no corrections) in meV/atom: -2036
Offset from the most stable computed form in eV per atom: 0.082

# 10
Below is a relaxed Sr2CdBi crystal, with properties calculated at the PBE level.

Lattice parameters (Å, degrees): 11.0333 11.0333 11.0333 148.14 148.14 45.69
Sites, in units of the cell vectors:
Sr: 0.1186 0.6250 0.9936
Sr: 0.3750 0.3686 0.4936
Sr: 0.6314 0.1250 0.0064
Sr: 0.8750 0.8814 0.5064
Cd: 0.2500 0.7500 0.5000
Cd: 0.5000 0.5000 0.0000
Bi: 0.0000 0.0000 0.0000
Bi: 0.7500 0.2500 0.5000

Output
Uncorrected energy in eV per atom: -2.21
Energy of formation from the pure elements in eV per atom: -0.17
Offset from the most stable computed form in eV per atom: 0.454

# 11
Below is a relaxed ScAsPt2 crystal, with properties calculated at the PBE level.

Lattice parameters (Å, degrees): 5.0986 5.0986 5.0986 138.18 128.11 68.75
Sites, in units of the cell vectors:
Sc: 0.0000 0.0000 0.0000
As: 0.2531 0.7531 0.5000
Pt: 0.4549 0.4549 0.0000
Pt: 0.7175 0.2175 0.5000

Output
Uncorrected energy in eV per atom: -6.55
Energy of formation from the pure elements in eV per atom: -0.78

# 12
Below is a relaxed HgBiSe2 crystal, with properties calculated at the PBE level.

Lattice parameters (Å, degrees): 5.1786 5.1786 5.1786 60.00 60.00 60.00
Sites, in units of the cell vectors:
Hg: 0.0000 0.0000 0.0000
Bi: 0.5000 0.5000 0.5000
Se: 0.2500 0.2500 0.2500
Se: 0.7500 0.7500 0.7500

Output
Uncorrected energy in eV per atom: -2.77
Formation energy (no corrections) in meV/atom: 18
Offset from the most stable computed form in eV per atom: 0.201